Computed, not measured: crystalline Ta5W at its relaxed geometry at the PBE level of DFT.

Structure (CIF):
```
data_Ta5W
_cell_length_a 5.393
_cell_length_b 5.393
_cell_length_c 5.393
_cell_angle_alpha 60.00
_cell_angle_beta 60.00
_cell_angle_gamma 60.00
_symmetry_space_group_name_H-M 'P 1'
_symmetry_Int_Tables_number 1
_symmetry_space_group_name_Hall 'P 1'
loop_
_atom_site_label
_atom_site_fract_x
_atom_site_fract_y
_atom_site_fract_z
Ta1 0.000 0.000 0.000
Ta2 0.125 0.625 0.625
Ta3 0.625 0.125 0.625
Ta4 0.625 0.625 0.125
Ta5 0.625 0.625 0.625
W1 0.250 0.250 0.250
```

## Properties
DFT formation energy = 0.21 eV per atom
SG = F-43m, No. 216
VASP energy = -11.82 eV/atom

---

Computed, not measured: crystalline TaW3 at its relaxed geometry at the PBE level of DFT.

Structure (CIF):
```
data_TaW3
_cell_length_a 5.139
_cell_length_b 5.139
_cell_length_c 5.139
_cell_angle_alpha 90.00
_cell_angle_beta 90.00
_cell_angle_gamma 90.00
_symmetry_space_group_name_H-M 'P 1'
_symmetry_Int_Tables_number 1
_symmetry_space_group_name_Hall 'P 1'
loop_
_atom_site_label
_atom_site_fract_x
_atom_site_fract_y
_atom_site_fract_z
Ta1 0.000 0.000 0.000
Ta2 0.500 0.500 0.500
W1 0.000 0.250 0.500
W2 0.000 0.750 0.500
W3 0.250 0.500 0.000
W4 0.500 0.000 0.250
W5 0.500 0.000 0.750
W6 0.750 0.500 0.000
```

## Properties
DFT formation energy = 0.11 eV per atom
SG = Pm-3n, No. 223
VASP energy = -12.57 eV/atom

---

Computed, not measured: crystalline Ta5W3 at its relaxed geometry at the PBE level of DFT.

Structure (CIF):
```
data_Ta5W3
_cell_length_a 5.650
_cell_length_b 5.650
_cell_length_c 4.599
_cell_angle_alpha 90.00
_cell_angle_beta 90.00
_cell_angle_gamma 109.16
_symmetry_space_group_name_H-M 'P 1'
_symmetry_Int_Tables_number 1
_symmetry_space_group_name_Hall 'P 1'
loop_
_atom_site_label
_atom_site_fract_x
_atom_site_fract_y
_atom_site_fract_z
Ta1 0.000 0.000 0.000
Ta2 0.000 0.500 0.000
Ta3 0.255 0.255 0.500
Ta4 0.500 0.000 0.000
Ta5 0.745 0.745 0.500
W1 0.248 0.752 0.500
W2 0.500 0.500 0.000
W3 0.752 0.248 0.500
```

## Properties
DFT formation energy = -0.07 eV per atom
SG = Cmmm, No. 65
VASP energy = -12.34 eV/atom

---

Computed, not measured: crystalline Ta5W at its relaxed geometry at the PBE level of DFT.

Structure (CIF):
```
data_Ta5W
_cell_length_a 5.417
_cell_length_b 5.417
_cell_length_c 4.633
_cell_angle_alpha 90.00
_cell_angle_beta 90.00
_cell_angle_gamma 120.00
_symmetry_space_group_name_H-M 'P 1'
_symmetry_Int_Tables_number 1
_symmetry_space_group_name_Hall 'P 1'
loop_
_atom_site_label
_atom_site_fract_x
_atom_site_fract_y
_atom_site_fract_z
Ta1 0.000 0.500 0.000
Ta2 0.333 0.667 0.500
Ta3 0.500 0.000 0.000
Ta4 0.500 0.500 0.000
Ta5 0.667 0.333 0.500
W1 0.000 0.000 0.500
```

## Properties
DFT formation energy = 0.79 eV per atom
SG = P6/mmm, No. 191
VASP energy = -11.24 eV/atom

---

Computed, not measured: crystalline TaW3 at its relaxed geometry at the PBE level of DFT.

Structure (CIF):
```
data_TaW3
_cell_length_a 2.783
_cell_length_b 2.783
_cell_length_c 9.087
_cell_angle_alpha 90.00
_cell_angle_beta 90.00
_cell_angle_gamma 109.88
_symmetry_space_group_name_H-M 'P 1'
_symmetry_Int_Tables_number 1
_symmetry_space_group_name_Hall 'P 1'
loop_
_atom_site_label
_atom_site_fract_x
_atom_site_fract_y
_atom_site_fract_z
Ta1 0.000 0.000 0.000
W1 0.000 0.000 0.500
W2 0.500 0.500 0.255
W3 0.500 0.500 0.745
```

## Properties
DFT formation energy = -0.07 eV per atom
SG = Cmmm, No. 65
VASP energy = -12.75 eV/atom

---

Computed, not measured: crystalline Ta4W at its relaxed geometry at the PBE level of DFT.

Structure (CIF):
```
data_Ta4W
_cell_length_a 5.469
_cell_length_b 5.469
_cell_length_c 5.469
_cell_angle_alpha 95.11
_cell_angle_beta 95.11
_cell_angle_gamma 145.27
_symmetry_space_group_name_H-M 'P 1'
_symmetry_Int_Tables_number 1
_symmetry_space_group_name_Hall 'P 1'
loop_
_atom_site_label
_atom_site_fract_x
_atom_site_fract_y
_atom_site_fract_z
Ta1 0.094 0.707 0.801
Ta2 0.293 0.094 0.387
Ta3 0.707 0.906 0.613
Ta4 0.906 0.293 0.199
W1 0.500 0.500 0.000
```

## Properties
DFT formation energy = -0.05 eV per atom
SG = I4/m, No. 87
VASP energy = -12.12 eV/atom

---

Computed, not measured: crystalline Ta3W4 at its relaxed geometry at the PBE level of DFT.

Structure (CIF):
```
data_Ta3W4
_cell_length_a 16.994
_cell_length_b 16.913
_cell_length_c 2.788
_cell_angle_alpha 86.95
_cell_angle_beta 83.62
_cell_angle_gamma 9.43
_symmetry_space_group_name_H-M 'P 1'
_symmetry_Int_Tables_number 1
_symmetry_space_group_name_Hall 'P 1'
loop_
_atom_site_label
_atom_site_fract_x
_atom_site_fract_y
_atom_site_fract_z
Ta1 0.000 0.000 0.000
Ta2 0.215 0.215 0.785
Ta3 0.785 0.785 0.215
W1 0.134 0.134 0.866
W2 0.431 0.431 0.569
W3 0.569 0.569 0.431
W4 0.866 0.866 0.134
```

## Properties
DFT formation energy = 0.32 eV per atom
SG = Fmmm, No. 69
VASP energy = -12.16 eV/atom

---

Computed, not measured: crystalline Ta7W at its relaxed geometry at the PBE level of DFT.

Structure (CIF):
```
data_Ta7W
_cell_length_a 5.929
_cell_length_b 5.929
_cell_length_c 5.929
_cell_angle_alpha 60.00
_cell_angle_beta 60.00
_cell_angle_gamma 60.00
_symmetry_space_group_name_H-M 'P 1'
_symmetry_Int_Tables_number 1
_symmetry_space_group_name_Hall 'P 1'
loop_
_atom_site_label
_atom_site_fract_x
_atom_site_fract_y
_atom_site_fract_z
Ta1 0.000 0.000 0.000
Ta2 0.000 0.000 0.500
Ta3 0.000 0.500 0.000
Ta4 0.000 0.500 0.500
Ta5 0.500 0.000 0.000
Ta6 0.500 0.000 0.500
Ta7 0.500 0.500 0.000
W1 0.500 0.500 0.500
```

## Properties
DFT formation energy = 0.28 eV per atom
SG = Fm-3m, No. 225
VASP energy = -11.71 eV/atom

---

Computed, not measured: crystalline TaW2 at its relaxed geometry at the PBE level of DFT.

Structure (CIF):
```
data_TaW2
_cell_length_a 5.460
_cell_length_b 4.592
_cell_length_c 8.116
_cell_angle_alpha 90.00
_cell_angle_beta 90.00
_cell_angle_gamma 90.00
_symmetry_space_group_name_H-M 'P 1'
_symmetry_Int_Tables_number 1
_symmetry_space_group_name_Hall 'P 1'
loop_
_atom_site_label
_atom_site_fract_x
_atom_site_fract_y
_atom_site_fract_z
Ta1 0.168 0.250 0.080
Ta2 0.332 0.750 0.580
Ta3 0.668 0.250 0.420
Ta4 0.832 0.750 0.920
W1 0.013 0.250 0.744
W2 0.168 0.250 0.422
W3 0.332 0.750 0.922
W4 0.487 0.750 0.244
W5 0.513 0.250 0.756
W6 0.668 0.250 0.078
W7 0.832 0.750 0.578
W8 0.987 0.750 0.256
```

## Properties
DFT formation energy = 0.10 eV per atom
SG = Pnma, No. 62
VASP energy = -12.49 eV/atom

---

Computed, not measured: crystalline Ta5W3 at its relaxed geometry at the PBE level of DFT.

Structure (CIF):
```
data_Ta5W3
_cell_length_a 7.830
_cell_length_b 7.830
_cell_length_c 5.438
_cell_angle_alpha 90.00
_cell_angle_beta 90.00
_cell_angle_gamma 120.00
_symmetry_space_group_name_H-M 'P 1'
_symmetry_Int_Tables_number 1
_symmetry_space_group_name_Hall 'P 1'
loop_
_atom_site_label
_atom_site_fract_x
_atom_site_fract_y
_atom_site_fract_z
Ta1 0.000 0.227 0.250
Ta2 0.000 0.773 0.750
Ta3 0.227 0.000 0.250
Ta4 0.227 0.227 0.750
Ta5 0.333 0.667 0.000
Ta6 0.333 0.667 0.500
Ta7 0.667 0.333 0.000
Ta8 0.667 0.333 0.500
Ta9 0.773 0.000 0.750
Ta10 0.773 0.773 0.250
W1 0.000 0.398 0.750
W2 0.000 0.602 0.250
W3 0.398 0.000 0.750
W4 0.398 0.398 0.250
W5 0.602 0.000 0.250
W6 0.602 0.602 0.750
```

## Properties
DFT formation energy = 0.26 eV per atom
SG = P6_3/mcm, No. 193
VASP energy = -12.01 eV/atom

---

Computed, not measured: crystalline Ta3W2 at its relaxed geometry at the PBE level of DFT.

Structure (CIF):
```
data_Ta3W2
_cell_length_a 8.460
_cell_length_b 8.460
_cell_length_c 8.460
_cell_angle_alpha 157.80
_cell_angle_beta 157.80
_cell_angle_gamma 31.59
_symmetry_space_group_name_H-M 'P 1'
_symmetry_Int_Tables_number 1
_symmetry_space_group_name_Hall 'P 1'
loop_
_atom_site_label
_atom_site_fract_x
_atom_site_fract_y
_atom_site_fract_z
Ta1 0.000 0.000 0.000
Ta2 0.196 0.196 0.000
Ta3 0.804 0.804 0.000
W1 0.400 0.400 0.000
W2 0.600 0.600 0.000
```

## Properties
DFT formation energy = -0.09 eV per atom
SG = I4/mmm, No. 139
VASP energy = -12.38 eV/atom

---

Computed, not measured: crystalline Ta3W4 at its relaxed geometry at the PBE level of DFT.

Structure (CIF):
```
data_Ta3W4
_cell_length_a 5.259
_cell_length_b 5.259
_cell_length_c 5.131
_cell_angle_alpha 90.00
_cell_angle_beta 90.00
_cell_angle_gamma 120.00
_symmetry_space_group_name_H-M 'P 1'
_symmetry_Int_Tables_number 1
_symmetry_space_group_name_Hall 'P 1'
loop_
_atom_site_label
_atom_site_fract_x
_atom_site_fract_y
_atom_site_fract_z
Ta1 0.000 0.500 0.000
Ta2 0.500 0.000 0.000
Ta3 0.500 0.500 0.000
W1 0.000 0.000 0.257
W2 0.000 0.000 0.743
W3 0.333 0.667 0.500
W4 0.667 0.333 0.500
```

## Properties
DFT formation energy = 0.36 eV per atom
SG = P6/mmm, No. 191
VASP energy = -12.13 eV/atom